[1]
DFT (PBE-GGA) results for a geometry-optimized KLa2WAu structure.

Geometry as extended XYZ:
```
5
Lattice="5.4192 0.0000 0.0000 0.0000 6.1652 0.0000 0.0000 0.0000 5.4192" Properties=species:S:1:pos:R:3 pbc="T T T"
K 0.0000 3.0826 0.0000
W 0.0000 0.0000 0.0000
La 0.0000 0.0000 2.7096
La 2.7096 0.0000 0.0000
Au 2.7096 3.0826 2.7096
```

## Properties
- SG: P4/mmm, No. 123
- Formation energy: 0.74 eV/atom



[2]
DFT (PBE-GGA) results for a geometry-optimized KLiAu2 structure.

Geometry as extended XYZ:
```
4
Lattice="-1.1740 2.7022 1.0889 0.4293 -1.1743 3.3771 7.1456 3.0440 0.1500" Properties=species:S:1:pos:R:3 pbc="T T T"
Au 6.7006 2.8544 0.1407
Au 4.0178 1.7116 0.0844
K 1.4141 1.5250 2.2705
Li 4.9869 3.0470 2.3455
```

## Properties
- SG: Pmmm, No. 47
- E above lowest polymorph: 60 meV/atom
- Formation energy: -0.32 eV/atom



[3]
DFT (PBE-GGA) results for a geometry-optimized KLiAu2 structure.

Geometry as extended XYZ:
```
4
Lattice="4.6072 0.0046 0.0077 2.3022 3.9907 0.0077 2.2845 1.3210 5.8867" Properties=species:S:1:pos:R:3 pbc="T T T"
Li 2.2985 1.3291 1.4755
Au 6.9051 3.9928 0.9633
Au 4.6013 2.6606 2.0032
K 6.8954 3.9872 4.4266
```

## Properties
- SG: C2/m, No. 12
- E above lowest polymorph: 0 meV/atom
- Formation energy: -0.38 eV/atom